Below is an optimized crystal structure of SrAlGeOs2, with properties calculated at the PBE level.

Output
Magnetic moment = 0.062 Bohr magnetons per cell
SG = No. 123
Calculated formation energy = 1151 meV per atom
Density of states at the Fermi level = 0.980 states/eV/atom
E = -5.35 eV per atom

Unit cell a=4.644 b=4.644 c=5.296 alpha=90.00 beta=90.00 gamma=90.00
Element x y z (fractional)
Sr: 0.000 0.000 0.000
Al: 0.500 0.500 0.000
Ge: 0.000 0.000 0.500
Os: 0.000 0.500 0.500
Os: 0.500 0.000 0.500